# 1
VASP calculation (PBEsol) on CaTcMo2 after structural relaxation.

a = 2.6206 Å, b = 5.2872 Å, c = 5.4857 Å
α = 118.81°, β = 90.00°, γ = 90.00°
Closest atoms and distances in Å follow each position.
Sites, in units of the cell vectors:
Ca  0.5000  0.5000  0.0000  2 Ca 2.62, 2 Tc 2.64
Tc  0.5000  0.0000  0.0000  2 Tc 2.62, 2 Ca 2.64
Mo  0.0000  0.0000  0.5000  4 Mo 2.62-2.64
Mo  0.0000  0.5000  0.5000  4 Mo 2.62-2.64

Magnetic moment in μB/atom: 0.000
Calculated formation energy in kJ per mole of atoms: 72.85
Energy relative to the lowest polymorph listed for this composition in eV per formula unit: 0.54


# 2
VASP calculation (PBEsol) on Ca4TcMo after structural relaxation.

a = 5.9927 Å, b = 5.9927 Å, c = 5.9927 Å
α = 60.00°, β = 60.00°, γ = 60.00°
Closest atoms and distances in Å follow each position.
Sites, in units of the cell vectors:
Ca  0.8762  0.3746  0.3746  6 Ca 2.99-3.01
Ca  0.3746  0.3746  0.8762  6 Ca 2.99-3.01
Ca  0.3746  0.3746  0.3746  6 Ca 2.99-3.01
Ca  0.3746  0.8762  0.3746  6 Ca 2.99-3.01
Mo  0.7500  0.7500  0.7500  12 Ca 3.51, 4 Tc 3.67
Tc  0.0000  0.0000  0.0000  12 Ca 3.51, 4 Mo 3.67

Magnetic moment in μB/atom: 0.917
Calculated formation energy in kJ per mole of atoms: 149.80


# 3
VASP calculation (PBEsol) on CaTcMo2 after structural relaxation.

a = 4.5137 Å, b = 4.5137 Å, c = 4.5137 Å
α = 60.00°, β = 60.00°, γ = 60.00°
Closest atoms and distances in Å follow each position.
Sites, in units of the cell vectors:
Ca  0.0000  0.0000  0.0000  8 Mo 2.76
Mo  0.7500  0.7500  0.7500  4 Tc 2.76, 4 Ca 2.76
Mo  0.2500  0.2500  0.2500  4 Tc 2.76, 4 Ca 2.76
Tc  0.5000  0.5000  0.5000  8 Mo 2.76

Magnetic moment in μB/atom: 0.000
Calculated formation energy in kJ per mole of atoms: 68.36
Energy relative to the lowest polymorph listed for this composition in eV per formula unit: 0.35


# 4
VASP calculation (PBEsol) on CaTcMo2 after structural relaxation.

a = 3.1065 Å, b = 4.8031 Å, c = 5.3504 Å
α = 116.67°, β = 106.88°, γ = 90.00°
Closest atoms and distances in Å follow each position.
Sites, in units of the cell vectors:
Mo  0.0204  0.0204  0.0409  2 Mo 2.62, 4 Tc 2.88, 2 Ca 2.92
Mo  0.7533  0.2533  0.5066  2 Tc 2.57, 2 Mo 2.62, 4 Ca 2.86
Tc  0.4791  0.4791  0.9582  2 Mo 2.57
Ca  0.2471  0.7471  0.4943  8 Mo 2.86-3.16, 4 Tc 2.88-3.19, 2 Ca 3.11

Magnetic moment in μB/atom: 0.000
Calculated formation energy in kJ per mole of atoms: 59.84
Energy relative to the lowest polymorph listed for this composition in eV per formula unit: 0.00


# 5
VASP calculation (PBEsol) on CaTcMo2 after structural relaxation.

a = 2.6593 Å, b = 5.3362 Å, c = 5.4591 Å
α = 116.34°, β = 98.81°, γ = 100.65°
Closest atoms and distances in Å follow each position.
Sites, in units of the cell vectors:
Ca  0.5000  0.0000  0.0000  2 Ca 2.66, 2 Tc 2.75, 4 Mo 2.85
Mo  0.0000  0.0000  0.5000  4 Mo 2.66-2.75, 2 Tc 2.85, 2 Ca 2.85
Mo  0.5000  0.5000  0.5000  4 Mo 2.66-2.75, 2 Tc 2.85, 2 Ca 2.85
Tc  0.0000  0.5000  0.0000  2 Tc 2.66, 2 Ca 2.75, 4 Mo 2.85

Magnetic moment in μB/atom: 0.000
Calculated formation energy in kJ per mole of atoms: 61.70
Energy relative to the lowest polymorph listed for this composition in eV per formula unit: 0.08


# 6
VASP calculation (PBEsol) on Ca2TeMo after structural relaxation.

a = 3.8501 Å, b = 4.6928 Å, c = 6.3962 Å
α = 111.52°, β = 90.00°, γ = 90.00°
Closest atoms and distances in Å follow each position.
Sites, in units of the cell vectors:
Ca  0.5000  0.3946  0.7892  4 Mo 3.13, 1 Te 3.31
Ca  0.0000  0.0985  0.1971  4 Te 3.16, 1 Mo 3.19
Te  0.5000  0.6728  0.3456  2 Mo 2.69
Mo  0.0000  0.8304  0.6607  2 Te 2.69

Magnetic moment in μB/atom: 0.510
Formation energy from raw total energies in meV per atom: 34.8


# 7
VASP calculation (PBEsol) on Ca2TeMo after structural relaxation.

a = 3.5283 Å, b = 3.5283 Å, c = 8.4902 Å
α = 90.00°, β = 90.00°, γ = 90.00°
Closest atoms and distances in Å follow each position.
Sites, in units of the cell vectors:
Te  0.5000  0.5000  0.6902  4 Mo 2.74
Ca  0.5000  0.5000  0.3119  1 Te 3.21, 4 Mo 3.26, 4 Ca 3.53
Ca  0.0000  0.0000  0.9396  1 Mo 3.24, 4 Te 3.27, 4 Ca 3.53
Mo  0.0000  0.0000  0.5582  4 Te 2.74

Magnetic moment in μB/atom: 0.000
Formation energy from raw total energies in meV per atom: -30.7


# 8
VASP calculation (PBEsol) on CaTe3Mo after structural relaxation.

a = 5.3196 Å, b = 5.3196 Å, c = 5.3196 Å
α = 90.00°, β = 90.00°, γ = 90.00°
Closest atoms and distances in Å follow each position.
Sites, in units of the cell vectors:
Mo  0.0000  0.0000  0.0000  6 Te 2.66
Te  0.0000  0.5000  0.0000  2 Mo 2.66
Te  0.5000  0.0000  0.0000  2 Mo 2.66
Te  0.0000  0.0000  0.5000  2 Mo 2.66
Ca  0.5000  0.5000  0.5000  12 Te 3.76

Magnetic moment in μB/atom: 0.274
Formation energy from raw total energies in meV per atom: -76.1


# 9
VASP calculation (PBEsol) on CaTeMo3 after structural relaxation.

a = 4.6501 Å, b = 4.6501 Å, c = 4.6501 Å
α = 90.00°, β = 90.00°, γ = 90.00°
Closest atoms and distances in Å follow each position.
Sites, in units of the cell vectors:
Ca  0.0000  0.0000  0.0000  6 Mo 2.33
Mo  0.0000  0.5000  0.0000  2 Ca 2.33
Mo  0.0000  0.0000  0.5000  2 Ca 2.33
Mo  0.5000  0.0000  0.0000  2 Ca 2.33
Te  0.5000  0.5000  0.5000  12 Mo 3.29

Magnetic moment in μB/atom: 0.004
Formation energy from raw total energies in meV per atom: 2568.3


# 10
VASP calculation (PBEsol) on Ca4TeMo after structural relaxation.

a = 6.3849 Å, b = 6.3849 Å, c = 6.3849 Å
α = 60.00°, β = 60.00°, γ = 60.00°
Closest atoms and distances in Å follow each position.
Sites, in units of the cell vectors:
Ca  0.3757  0.8728  0.3757  6 Ca 3.17-3.21
Ca  0.3757  0.3757  0.3757  6 Ca 3.17-3.21
Ca  0.3757  0.3757  0.8728  6 Ca 3.17-3.21
Ca  0.8728  0.3757  0.3757  6 Ca 3.17-3.21
Te  0.0000  0.0000  0.0000  12 Ca 3.75, 4 Mo 3.91
Mo  0.7500  0.7500  0.7500  12 Ca 3.74, 4 Te 3.91

Magnetic moment in μB/atom: 0.567
Formation energy from raw total energies in meV per atom: 710.5


# 11
VASP calculation (PBEsol) on CaTi2Mo after structural relaxation.

a = 4.6810 Å, b = 4.6810 Å, c = 4.6810 Å
α = 60.00°, β = 60.00°, γ = 60.00°
Closest atoms and distances in Å follow each position.
Sites, in units of the cell vectors:
Ca  0.0000  0.0000  0.0000  8 Ti 2.87
Ti  0.7500  0.7500  0.7500  4 Mo 2.87, 4 Ca 2.87
Ti  0.2500  0.2500  0.2500  4 Mo 2.87, 4 Ca 2.87
Mo  0.5000  0.5000  0.5000  8 Ti 2.87

Magnetic moment in μB/atom: 0.000
Calculated formation energy in kJ per mole of atoms: 47.16


# 12
VASP calculation (PBEsol) on CaTi3Mo after structural relaxation.

a = 4.8053 Å, b = 4.8053 Å, c = 4.8053 Å
α = 90.00°, β = 90.00°, γ = 90.00°
Closest atoms and distances in Å follow each position.
Sites, in units of the cell vectors:
Mo  0.0000  0.0000  0.0000  6 Ti 2.40
Ti  0.5000  0.0000  0.0000  2 Mo 2.40
Ti  0.0000  0.0000  0.5000  2 Mo 2.40
Ti  0.0000  0.5000  0.0000  2 Mo 2.40
Ca  0.5000  0.5000  0.5000  12 Ti 3.40

Magnetic moment in μB/atom: 0.253
Calculated formation energy in kJ per mole of atoms: 56.97


# 13
VASP calculation (PBEsol) on CaTlMo after structural relaxation.

a = 3.1736 Å, b = 3.1736 Å, c = 7.4914 Å
α = 90.00°, β = 90.00°, γ = 120.00°
Closest atoms and distances in Å follow each position.
Sites, in units of the cell vectors:
Mo  0.3333  0.6667  0.6601  3 Tl 2.94, 3 Ca 3.06, 6 Mo 3.17
Ca  0.0000  0.0000  0.9865  3 Mo 3.06, 6 Ca 3.17, 3 Tl 3.30
Tl  0.6667  0.3333  0.3533  3 Mo 2.94, 6 Tl 3.17

Magnetic moment in μB/atom: 0.000
Calculated formation energy in kJ per mole of atoms: 61.71


# 14
VASP calculation (PBEsol) on CaTlMo2 after structural relaxation.

a = 3.2771 Å, b = 3.2849 Å, c = 7.5712 Å
α = 90.51°, β = 90.00°, γ = 90.00°
Closest atoms and distances in Å follow each position.
Sites, in units of the cell vectors:
Mo  0.0000  0.0074  0.0556  4 Mo 2.56-2.65
Mo  0.5000  0.4886  0.2108  4 Mo 2.56-2.65
Tl  0.0000  0.9991  0.4652  5 Mo 3.01-3.10, 4 Ca 3.26, 4 Tl 3.28
Ca  0.5000  0.5049  0.7684  5 Mo 3.17-3.35, 4 Tl 3.26, 4 Ca 3.28

Magnetic moment in μB/atom: 0.000
Calculated formation energy in kJ per mole of atoms: 26.87
Energy relative to the lowest polymorph listed for this composition in eV per formula unit: 0.00


# 15
VASP calculation (PBEsol) on CaTlMo2 after structural relaxation.

a = 3.0727 Å, b = 4.4634 Å, c = 6.7730 Å
α = 96.20°, β = 90.00°, γ = 110.13°
Closest atoms and distances in Å follow each position.
Sites, in units of the cell vectors:
Mo  0.7471  0.4943  0.2039  3 Mo 2.50-2.57
Mo  0.0127  0.0255  0.0707  3 Mo 2.50-2.57
Tl  0.4931  0.9862  0.4547  5 Mo 2.87-3.04, 2 Tl 3.07, 1 Ca 3.14
Ca  0.2470  0.4941  0.7708  5 Mo 2.98-3.31, 2 Ca 3.07, 3 Tl 3.14-3.23

Magnetic moment in μB/atom: 0.000
Calculated formation energy in kJ per mole of atoms: 54.94
Energy relative to the lowest polymorph listed for this composition in eV per formula unit: 1.16


# 16
VASP calculation (PBEsol) on CaMoW after structural relaxation.

a = 3.2637 Å, b = 3.2637 Å, c = 6.0726 Å
α = 105.59°, β = 105.59°, γ = 90.00°
Closest atoms and distances in Å follow each position.
Sites, in units of the cell vectors:
W  0.3010  0.3010  0.6020  4 Mo 2.58
Mo  0.6984  0.6984  0.3967  4 W 2.58
Ca  0.0006  0.0006  0.0013  5 Mo 3.20-3.40, 5 W 3.22-3.37, 4 Ca 3.26

Magnetic moment in μB/atom: 0.000
Calculated formation energy in kJ per mole of atoms: 57.95